(1)
Computed, not measured: ScNiAs2 at its PBEsol-relaxed geometry at the meta-GGA SCAN level of DFT.

```
4
Lattice="4.478 0.000 0.000 2.239 3.878 0.000 2.239 1.293 3.657" Properties=species:S:1:pos:R:3 pbc="T T T"
As 6.718 3.878 2.742
As 2.239 1.293 0.914
Ni 0.000 0.000 0.000
Sc 4.478 2.586 1.828
```

Properties
- Energy: -0.662 Ha/atom
- Magnetic moment: 0.00 μB per cell
- E_form: -7.39 kcal/mol of atoms
- Density of states at the Fermi level: 4.2 states/eV/cell

(2)
Computed, not measured: HfH2WCl at its PBEsol-relaxed geometry at the meta-GGA SCAN level of DFT.

```
5
Lattice="-1.759 2.084 -2.430 -3.201 -1.119 1.358 0.044 4.019 3.415" Properties=species:S:1:pos:R:3 pbc="T T T"
Hf 0.000 0.000 0.000
H -0.880 1.042 -1.215
H -1.601 -0.560 0.679
W 0.022 2.009 1.707
Cl -2.458 2.492 1.171
```

Properties
- Energy: -1.057 Ha/atom
- Magnetic moment: 0.00 μB per cell
- Density of states at the Fermi level: 2.7 states/eV/cell

(3)
Computed, not measured: CdCuRh at its PBEsol-relaxed geometry at the meta-GGA SCAN level of DFT.

```
3
Lattice="4.209 0.000 0.000 2.105 3.645 0.000 2.105 1.215 3.437" Properties=species:S:1:pos:R:3 pbc="T T T"
Rh 4.209 2.430 1.718
Cd 6.314 3.645 2.578
Cu 0.000 0.000 0.000
```

Properties
- Energy: -0.952 Ha/atom
- Distance to the lowest polymorph of the same formula: 51.7 kJ/mol of atoms
- Magnetic moment: 0.00 μB per cell
- E_form: 12.79 kcal/mol of atoms
- Density of states at the Fermi level: 0.7 states/eV/cell

(4)
Computed, not measured: K2CoMo at its PBEsol-relaxed geometry at the meta-GGA SCAN level of DFT.

```
4
Lattice="-1.947 1.937 -4.096 -4.631 -1.101 -1.288 -3.532 3.426 0.331" Properties=species:S:1:pos:R:3 pbc="T T T"
K -7.583 3.196 -3.790
K 0.000 0.000 0.000
Co -5.056 2.131 -2.526
Mo -2.528 1.065 -1.263
```

Properties
- Energy: -0.566 Ha/atom
- Distance to the lowest polymorph of the same formula: 32.4 kJ/mol of atoms
- Magnetic moment: 5.09 μB per cell
- E_form: 41.69 kcal/mol of atoms
- Density of states at the Fermi level: 6.9 states/eV/cell

(5)
Computed, not measured: FeSiOs2 at its PBEsol-relaxed geometry at the meta-GGA SCAN level of DFT.

```
4
Lattice="-0.390 -0.392 -2.679 -0.566 -2.503 -0.948 -8.120 0.446 -0.279" Properties=species:S:1:pos:R:3 pbc="T T T"
Fe 0.000 0.000 0.000
Os -6.765 -1.845 -2.935
Os -2.312 -0.605 -0.971
Si -4.538 -1.225 -1.953
```

Properties
- Energy: -1.580 Ha/atom
- Magnetic moment: 2.92 μB per cell
- Density of states at the Fermi level: 2.2 states/eV/cell

(6)
Computed, not measured: Sm2InAg at its PBEsol-relaxed geometry at the meta-GGA SCAN level of DFT.

```
4
Lattice="-3.564 2.320 3.092 -3.056 -2.914 3.133 0.712 0.110 5.209" Properties=species:S:1:pos:R:3 pbc="T T T"
In -2.955 -0.242 5.717
Sm -4.432 -0.363 8.575
Sm -1.477 -0.121 2.858
Ag 0.000 0.000 0.000
```

Properties
- Energy: -1.430 Ha/atom
- Magnetic moment: 0.28 μB per cell
- E_form: -11.51 kcal/mol of atoms
- Density of states at the Fermi level: 2.8 states/eV/cell

(7)
Computed, not measured: Zn2Ag3 at its PBEsol-relaxed geometry at the meta-GGA SCAN level of DFT.

```
5
Lattice="2.876 0.000 0.000 0.000 2.876 0.000 -1.438 -1.438 9.303" Properties=species:S:1:pos:R:3 pbc="T T T"
Ag 0.000 0.000 5.674
Ag 1.438 1.438 3.629
Ag 1.438 1.438 0.000
Zn 1.438 1.438 7.466
Zn 0.000 0.000 1.837
```

Properties
- Energy: -0.891 Ha/atom
- Distance to the lowest polymorph of the same formula: 0.0 kJ/mol of atoms
- Magnetic moment: 0.00 μB per cell
- E_form: -0.45 kcal/mol of atoms
- Density of states at the Fermi level: 1.3 states/eV/cell

(8)
Computed, not measured: Li2BeCo2 at its PBEsol-relaxed geometry at the meta-GGA SCAN level of DFT.

```
10
Lattice="4.145 0.000 0.000 0.000 5.366 0.000 0.000 0.000 5.366" Properties=species:S:1:pos:R:3 pbc="T T T"
Li 2.073 3.612 4.437
Li 2.073 4.437 1.754
Li 2.073 1.754 0.929
Li 2.073 0.929 3.612
Co 0.000 4.607 3.443
Co 0.000 0.759 1.924
Co 0.000 1.924 4.607
Co 0.000 3.443 0.759
Be 0.000 2.683 2.683
Be 0.000 0.000 0.000
```

Properties
- Energy: -0.312 Ha/atom
- Magnetic moment: 5.61 μB per cell
- E_form: 6.26 kcal/mol of atoms
- Density of states at the Fermi level: 4.1 states/eV/cell

(9)
Computed, not measured: Cs3B12H12Br at its PBEsol-relaxed geometry at the meta-GGA SCAN level of DFT.

```
28
Lattice="7.085 0.000 0.000 -0.371 7.076 0.000 -0.371 -0.390 7.065" Properties=species:S:1:pos:R:3 pbc="T T T"
B 0.497 0.524 5.944
B 5.847 0.779 6.214
B 4.755 6.298 6.655
B 6.040 6.365 5.437
B 0.497 5.906 0.851
B 1.589 0.387 0.409
B 5.872 0.805 0.851
B 0.304 0.320 1.627
B 5.847 6.161 1.121
B 0.473 5.880 6.214
B 6.040 5.078 6.655
B 0.304 1.607 0.409
H 1.126 1.186 5.146
H 5.830 6.143 4.268
H 3.613 6.027 6.369
H 0.515 2.762 0.696
H 5.007 1.389 1.468
H 5.830 3.923 6.369
H 1.126 5.073 1.468
H 5.218 1.612 5.596
H 5.218 5.498 1.918
H 0.515 0.542 2.796
H 1.337 5.295 5.596
H 2.731 0.658 0.696
Cs 3.357 -0.195 3.532
Cs 3.357 3.538 0.000
Cs -0.371 3.343 3.532
Br 3.172 3.342 3.532
```

Properties
- Energy: -0.367 Ha/atom
- Magnetic moment: 0.00 μB per cell
- Density of states at the Fermi level: 0.0 states/eV/cell

(10)
Computed, not measured: AlTl2Fe at its PBEsol-relaxed geometry at the meta-GGA SCAN level of DFT.

```
4
Lattice="4.100 0.000 0.000 0.000 4.100 0.000 -2.050 -2.050 4.621" Properties=species:S:1:pos:R:3 pbc="T T T"
Tl 2.050 0.000 2.310
Tl 0.000 0.000 0.000
Fe 0.000 2.050 2.310
Al 2.050 2.050 0.000
```

Properties
- Energy: -1.549 Ha/atom
- Magnetic moment: 2.98 μB per cell
- E_form: 11.45 kcal/mol of atoms
- Density of states at the Fermi level: 0.9 states/eV/cell

(11)
Computed, not measured: SbOsCl at its PBEsol-relaxed geometry at the meta-GGA SCAN level of DFT.

```
3
Lattice="-1.335 -2.714 -0.537 -0.315 -0.443 3.023 -4.938 4.450 -1.424" Properties=species:S:1:pos:R:3 pbc="T T T"
Sb -3.410 1.699 -0.107
Cl -0.438 0.218 -0.014
Os -2.741 -0.624 1.183
```

Properties
- Energy: -1.415 Ha/atom
- Magnetic moment: 0.00 μB per cell
- Density of states at the Fermi level: 2.8 states/eV/cell

(12)
Computed, not measured: CoPbCl2 at its PBEsol-relaxed geometry at the meta-GGA SCAN level of DFT.

```
4
Lattice="3.351 0.000 0.000 0.000 4.407 0.000 0.000 0.000 5.583" Properties=species:S:1:pos:R:3 pbc="T T T"
Cl 0.000 0.000 0.000
Cl 1.676 0.000 2.791
Co 1.676 2.203 0.000
Pb 0.000 2.203 2.791
```

Properties
- Energy: -1.006 Ha/atom
- Distance to the lowest polymorph of the same formula: 39.8 kJ/mol of atoms
- Magnetic moment: 1.83 μB per cell
- Density of states at the Fermi level: 1.7 states/eV/cell